Entry from Alexandria via LeMat-Bulk: a relaxed SnCSe2 crystal (PBE).

Results
The value obtained for the energy above the lowest structure with this stoichiometry is 0.42 eV per formula unit.

The structure in CIF format:
```
data_SnCSe2
_chemical_formula_sum 'Sn4 C4 Se8'
_cell_length_a 6.349
_cell_length_b 6.349
_cell_length_c 9.164
_cell_angle_alpha 90.00
_cell_angle_beta 90.00
_cell_angle_gamma 90.00
_symmetry_space_group_name_H-M 'I -4 2 d'
_symmetry_Int_Tables_number 122
_symmetry_space_group_name_Hall 'I -4 2bw'
loop_
_atom_site_label
_atom_site_type_symbol
_atom_site_fract_x
_atom_site_fract_y
_atom_site_fract_z
Sn1 Sn 0.000 0.000 0.000
C1 C 0.000 0.000 0.500
Se1 Se 0.138 0.250 0.625
```



Entry from Alexandria via LeMat-Bulk: a relaxed Sn2TeCSe crystal (PBE).

The structure in CIF format:
```
data_Sn2TeCSe
_chemical_formula_sum 'Sn2 Te1 C1 Se1'
_cell_length_a 5.622
_cell_length_b 5.622
_cell_length_c 5.440
_cell_angle_alpha 90.00
_cell_angle_beta 90.00
_cell_angle_gamma 90.00
_symmetry_space_group_name_H-M 'P 4/m m m'
_symmetry_Int_Tables_number 123
_symmetry_space_group_name_Hall '-P 4 2'
loop_
_atom_site_label
_atom_site_type_symbol
_atom_site_fract_x
_atom_site_fract_y
_atom_site_fract_z
Sn1 Sn 0.000 0.500 0.000
Te1 Te 0.000 0.000 0.500
C1 C 0.500 0.500 0.500
Se1 Se 0.000 0.000 0.000
```



Entry from Alexandria via LeMat-Bulk: a relaxed Th4SnCSe2 crystal (PBE).

The structure in CIF format:
```
data_Th4SnCSe2
_chemical_formula_sum 'Th8 Sn2 C2 Se4'
_cell_length_a 7.396
_cell_length_b 7.753
_cell_length_c 8.031
_cell_angle_alpha 90.00
_cell_angle_beta 90.00
_cell_angle_gamma 90.00
_symmetry_space_group_name_H-M 'I 2 2 2'
_symmetry_Int_Tables_number 23
loop_
_symmetry_equiv_pos_as_xyz
'x,y,z'
'-x,-y,z'
'x,-y,-z'
'-x,y,-z'
'x+1/2,y+1/2,z+1/2'
'-x+1/2,-y+1/2,z+1/2'
'x+1/2,-y+1/2,-z+1/2'
'-x+1/2,y+1/2,-z+1/2'
loop_
_atom_site_label
_atom_site_type_symbol
_atom_site_fract_x
_atom_site_fract_y
_atom_site_fract_z
Th1 Th 0.176 0.160 0.196
Sn1 Sn 0.000 0.500 0.000
C1 C 0.000 0.000 0.000
Se1 Se 0.000 0.273 0.500
```



Entry from Alexandria via LeMat-Bulk: a relaxed Zr2SnCSe crystal (PBE).

The structure in CIF format:
```
data_Zr2SnCSe
_chemical_formula_sum 'Zr2 Sn1 C1 Se1'
_cell_length_a 5.414
_cell_length_b 5.414
_cell_length_c 5.000
_cell_angle_alpha 90.00
_cell_angle_beta 90.00
_cell_angle_gamma 90.00
_symmetry_space_group_name_H-M 'P 4/m m m'
_symmetry_Int_Tables_number 123
_symmetry_space_group_name_Hall '-P 4 2'
loop_
_atom_site_label
_atom_site_type_symbol
_atom_site_fract_x
_atom_site_fract_y
_atom_site_fract_z
Zr1 Zr 0.000 0.500 0.000
Sn1 Sn 0.000 0.000 0.000
C1 C 0.500 0.500 0.500
Se1 Se 0.000 0.000 0.500
```



no.,calculated total energy (eV/cell),formation energy (no corrections) (eV/atom)
1,-66.88,0.87
2,-15.46,1.68
3,-110.61,-0.68
4,-23.20,2.12